Entry 1:
The following is a DFT calculation (GGA-PBE) of an optimized crystal structure of NaLaNiPb.

E_tot: -4.079 eV per atom
SG: No. 216
relative energy among the computed polymorphs: 0.00 kcal/mol of atoms

a b c (Å): 5.0128 5.0128 5.0128
angles (deg): 60.00 60.00 60.00
With the nearest neighbours (Å) after each atom.
Fractional positions:
La 0.5000 0.5000 0.5000  4 Na 3.07, 4 Ni 3.07
Na 0.7500 0.7500 0.7500  4 La 3.07, 4 Pb 3.07
Ni 0.2500 0.2500 0.2500  4 Pb 3.07, 4 La 3.07
Pb 0.0000 0.0000 0.0000  4 Na 3.07, 4 Ni 3.07


Entry 2:
The following is a DFT calculation (GGA-PBE) of an optimized crystal structure of NaLaNiPb.

E_tot: -3.855 eV per atom
SG: No. 216
relative energy among the computed polymorphs: 5.16 kcal/mol of atoms

a b c (Å): 5.1044 5.1044 5.1044
angles (deg): 60.00 60.00 60.00
With the nearest neighbours (Å) after each atom.
Fractional positions:
La 0.0000 0.0000 0.0000  4 Na 3.13, 4 Pb 3.13
Na 0.7500 0.7500 0.7500  4 La 3.13, 4 Ni 3.13
Ni 0.5000 0.5000 0.5000  4 Na 3.13, 4 Pb 3.13
Pb 0.2500 0.2500 0.2500  4 Ni 3.13, 4 La 3.13


Entry 3:
The following is a DFT calculation (GGA-PBE) of an optimized crystal structure of NaLaNiPb.

E_tot: -3.904 eV per atom
SG: No. 216
relative energy among the computed polymorphs: 4.03 kcal/mol of atoms

a b c (Å): 5.2257 5.2257 5.2257
angles (deg): 60.00 60.00 60.00
With the nearest neighbours (Å) after each atom.
Fractional positions:
La 0.2500 0.2500 0.2500  4 Ni 3.20, 4 Pb 3.20
Na 0.7500 0.7500 0.7500  4 Ni 3.20, 4 Pb 3.20
Ni 0.5000 0.5000 0.5000  4 La 3.20, 4 Na 3.20
Pb 0.0000 0.0000 0.0000  4 La 3.20, 4 Na 3.20


Entry 4:
The following is a DFT calculation (GGA-PBE) of an optimized crystal structure of NaLaNiSe3.

E_tot: -4.863 eV per atom
SG: No. 62
relative energy among the computed polymorphs: 0.00 kcal/mol of atoms

a b c (Å): 11.5309 4.1972 11.9719
angles (deg): 90.00 90.00 90.00
With the nearest neighbours (Å) after each atom.
Fractional positions:
La 0.4861 0.5000 0.1818  7 Se 3.00-3.12
La 0.9861 0.5000 0.3182  7 Se 3.00-3.12
La 0.0139 0.0000 0.6818  7 Se 3.00-3.12
La 0.5139 0.0000 0.8182  7 Se 3.00-3.12
Na 0.1779 0.0000 0.0014  7 Se 3.07-3.22, 2 Ni 3.40
Na 0.6779 0.0000 0.4986  7 Se 3.07-3.22, 2 Ni 3.40
Na 0.3221 0.5000 0.5014  7 Se 3.07-3.22, 2 Ni 3.40
Na 0.8221 0.5000 0.9986  7 Se 3.07-3.22, 2 Ni 3.40
Ni 0.7522 0.0000 0.2113  4 Se 2.37-2.38
Ni 0.2522 0.0000 0.2887  4 Se 2.37-2.38
Ni 0.7478 0.5000 0.7113  4 Se 2.37-2.38
Ni 0.2478 0.5000 0.7887  4 Se 2.37-2.38
Se 0.6220 0.0000 0.0570  1 Ni 2.38
Se 0.9458 0.0000 0.1436  1 Ni 2.38
Se 0.2231 0.5000 0.2008  2 Ni 2.37
Se 0.7231 0.5000 0.2992  2 Ni 2.37
Se 0.4458 0.0000 0.3564  1 Ni 2.38
Se 0.1220 0.0000 0.4430  1 Ni 2.38
Se 0.8780 0.5000 0.5570  1 Ni 2.38
Se 0.5542 0.5000 0.6436  1 Ni 2.38
Se 0.2769 0.0000 0.7008  2 Ni 2.37
Se 0.7769 0.0000 0.7992  2 Ni 2.37
Se 0.0542 0.5000 0.8564  1 Ni 2.38
Se 0.3780 0.5000 0.9430  1 Ni 2.38


Entry 5:
The following is a DFT calculation (GGA-PBE) of an optimized crystal structure of NaLaNiSe3.

E_tot: -4.829 eV per atom
SG: No. 63
relative energy among the computed polymorphs: 0.80 kcal/mol of atoms

a b c (Å): 6.8825 6.8825 11.3398
angles (deg): 90.00 90.00 35.19
With the nearest neighbours (Å) after each atom.
Fractional positions:
La 0.0000 0.0000 0.0000  6 Se 2.97-3.01
La 0.0000 0.0000 0.5000  6 Se 2.97-3.01
Na 0.7578 0.7578 0.2500  6 Se 3.05-3.16
Na 0.2422 0.2422 0.7500  6 Se 3.05-3.16
Ni 0.4797 0.4797 0.2500  4 Se 2.40-2.44
Ni 0.5203 0.5203 0.7500  4 Se 2.40-2.44
Se 0.3589 0.3589 0.0913  1 Ni 2.40
Se 0.0762 0.0762 0.2500  2 Ni 2.44
Se 0.3589 0.3589 0.4087  1 Ni 2.40
Se 0.6411 0.6411 0.5913  1 Ni 2.40
Se 0.9238 0.9238 0.7500  2 Ni 2.44
Se 0.6411 0.6411 0.9087  1 Ni 2.40


Entry 6:
The following is a DFT calculation (GGA-PBE) of an optimized crystal structure of NaLaSiNi.

E_tot: -4.314 eV per atom
SG: No. 216
relative energy among the computed polymorphs: 3.38 kcal/mol of atoms

a b c (Å): 4.8003 4.8003 4.8003
angles (deg): 60.00 60.00 60.00
With the nearest neighbours (Å) after each atom.
Fractional positions:
La 0.0000 0.0000 0.0000  4 Na 2.94, 4 Si 2.94
Na 0.7500 0.7500 0.7500  4 La 2.94, 4 Ni 2.94
Ni 0.5000 0.5000 0.5000  4 Si 2.94, 4 Na 2.94
Si 0.2500 0.2500 0.2500  4 Ni 2.94, 4 La 2.94


Entry 7:
The following is a DFT calculation (GGA-PBE) of an optimized crystal structure of NaLaSiNi.

E_tot: -4.460 eV per atom
SG: No. 216
relative energy among the computed polymorphs: 0.00 kcal/mol of atoms

a b c (Å): 4.7566 4.7566 4.7566
angles (deg): 60.00 60.00 60.00
With the nearest neighbours (Å) after each atom.
Fractional positions:
La 0.5000 0.5000 0.5000  4 Na 2.91, 4 Ni 2.91
Na 0.7500 0.7500 0.7500  4 La 2.91, 4 Si 2.91
Ni 0.2500 0.2500 0.2500  4 Si 2.91, 4 La 2.91
Si 0.0000 0.0000 0.0000  4 Ni 2.91, 4 Na 2.91


Entry 8:
The following is a DFT calculation (GGA-PBE) of an optimized crystal structure of NaLaSiNi.

E_tot: -4.300 eV per atom
SG: No. 216
relative energy among the computed polymorphs: 3.71 kcal/mol of atoms

a b c (Å): 4.9341 4.9341 4.9341
angles (deg): 60.00 60.00 60.00
With the nearest neighbours (Å) after each atom.
Fractional positions:
La 0.2500 0.2500 0.2500  4 Ni 3.02, 4 Si 3.02
Na 0.7500 0.7500 0.7500  4 Ni 3.02, 4 Si 3.02
Ni 0.5000 0.5000 0.5000  4 Na 3.02, 4 La 3.02
Si 0.0000 0.0000 0.0000  4 Na 3.02, 4 La 3.02


Entry 9:
The following is a DFT calculation (GGA-PBE) of an optimized crystal structure of NaLaNiSn.

E_tot: -4.033 eV per atom
SG: No. 216
relative energy among the computed polymorphs: 5.40 kcal/mol of atoms

a b c (Å): 5.0558 5.0558 5.0558
angles (deg): 60.00 60.00 60.00
With the nearest neighbours (Å) after each atom.
Fractional positions:
La 0.0000 0.0000 0.0000  4 Sn 3.10, 4 Na 3.10
Na 0.7500 0.7500 0.7500  4 Ni 3.10, 4 La 3.10
Ni 0.5000 0.5000 0.5000  4 Sn 3.10, 4 Na 3.10
Sn 0.2500 0.2500 0.2500  4 Ni 3.10, 4 La 3.10


Entry 10:
The following is a DFT calculation (GGA-PBE) of an optimized crystal structure of NaLaNiSn.

E_tot: -4.048 eV per atom
SG: No. 216
relative energy among the computed polymorphs: 5.07 kcal/mol of atoms

a b c (Å): 5.1709 5.1709 5.1709
angles (deg): 60.00 60.00 60.00
With the nearest neighbours (Å) after each atom.
Fractional positions:
La 0.2500 0.2500 0.2500  4 Ni 3.17, 4 Sn 3.17
Na 0.7500 0.7500 0.7500  4 Ni 3.17, 4 Sn 3.17
Ni 0.5000 0.5000 0.5000  4 Na 3.17, 4 La 3.17
Sn 0.0000 0.0000 0.0000  4 Na 3.17, 4 La 3.17


Entry 11:
The following is a DFT calculation (GGA-PBE) of an optimized crystal structure of NaLaNiSn.

E_tot: -4.268 eV per atom
SG: No. 216
relative energy among the computed polymorphs: 0.00 kcal/mol of atoms

a b c (Å): 4.9371 4.9371 4.9371
angles (deg): 60.00 60.00 60.00
With the nearest neighbours (Å) after each atom.
Fractional positions:
La 0.5000 0.5000 0.5000  4 Ni 3.02, 4 Na 3.02
Na 0.7500 0.7500 0.7500  4 La 3.02, 4 Sn 3.02
Ni 0.2500 0.2500 0.2500  4 La 3.02, 4 Sn 3.02
Sn 0.0000 0.0000 0.0000  4 Na 3.02, 4 Ni 3.02


Entry 12:
The following is a DFT calculation (GGA-PBE) of an optimized crystal structure of NaLa2OsO6.

E_tot: -7.605 eV per atom
SG: No. 14

a b c (Å): 5.5953 5.9408 8.0217
angles (deg): 90.00 90.62 90.00
With the nearest neighbours (Å) after each atom.
Fractional positions:
La 0.0168 0.5650 0.2478  4 O 2.36-2.44
La 0.4832 0.0650 0.2522  4 O 2.36-2.44
La 0.5168 0.9350 0.7478  4 O 2.36-2.44
La 0.9832 0.4350 0.7522  4 O 2.36-2.44
Na 0.0000 0.0000 0.0000  6 O 2.25-2.31
Na 0.5000 0.5000 0.5000  6 O 2.25-2.31
O 0.2092 0.3241 0.0503  1 Os 1.98
O 0.3315 0.7815 0.0623  1 Os 1.99
O 0.6106 0.4569 0.2328  1 Os 1.98
O 0.8894 0.9569 0.2672  1 Os 1.98
O 0.1685 0.2815 0.4377  1 Os 1.99
O 0.2908 0.8241 0.4497  1 Os 1.98
O 0.7092 0.1759 0.5503  1 Os 1.98
O 0.8315 0.7185 0.5623  1 Os 1.99
O 0.1106 0.0431 0.7328  1 Os 1.98
O 0.3894 0.5431 0.7672  1 Os 1.98
O 0.6685 0.2185 0.9377  1 Os 1.99
O 0.7908 0.6759 0.9497  1 Os 1.98
Os 0.5000 0.5000 0.0000  6 O 1.98-1.99
Os 0.0000 0.0000 0.5000  6 O 1.98-1.99


Entry 13:
The following is a DFT calculation (GGA-PBE) of an optimized crystal structure of NaLa2TaO6.

E_tot: -8.361 eV per atom
SG: No. 14

a b c (Å): 5.6696 5.9563 8.1190
angles (deg): 90.00 90.82 90.00
With the nearest neighbours (Å) after each atom.
Fractional positions:
La 0.0155 0.5594 0.2461  4 O 2.36-2.44
La 0.4845 0.0594 0.2539  4 O 2.36-2.44
La 0.5155 0.9406 0.7461  4 O 2.36-2.44
La 0.9845 0.4406 0.7539  4 O 2.36-2.44
Na 0.0000 0.0000 0.0000  6 O 2.31-2.35
Na 0.5000 0.5000 0.5000  6 O 2.31-2.35
O 0.2112 0.3248 0.0516  1 Ta 1.99
O 0.3315 0.7811 0.0684  1 Ta 2.01
O 0.6164 0.4484 0.2308  1 Ta 2.00
O 0.8836 0.9484 0.2692  1 Ta 2.00
O 0.1685 0.2811 0.4316  1 Ta 2.01
O 0.2888 0.8248 0.4484  1 Ta 1.99
O 0.7112 0.1752 0.5516  1 Ta 1.99
O 0.8315 0.7189 0.5684  1 Ta 2.01
O 0.1164 0.0516 0.7308  1 Ta 2.00
O 0.3836 0.5516 0.7692  1 Ta 2.00
O 0.6685 0.2189 0.9316  1 Ta 2.01
O 0.7888 0.6752 0.9484  1 Ta 1.99
Ta 0.5000 0.5000 0.0000  6 O 1.99-2.01
Ta 0.0000 0.0000 0.5000  6 O 1.99-2.01


Entry 14:
The following is a DFT calculation (GGA-PBE) of an optimized crystal structure of NaLaZnO3.

E_tot: -5.820 eV per atom
SG: No. 63

a b c (Å): 5.3253 5.3253 10.0813
angles (deg): 90.00 90.00 39.31
With the nearest neighbours (Å) after each atom.
Fractional positions:
La 0.0000 0.0000 0.0000  6 O 2.38-2.61
La 0.0000 0.0000 0.5000  6 O 2.38-2.61
Na 0.7401 0.7401 0.2500  6 O 2.50-2.77, 1 Zn 2.79
Na 0.2599 0.2599 0.7500  6 O 2.50-2.77, 1 Zn 2.79
O 0.3686 0.3686 0.0843  1 Zn 1.92
O 0.0666 0.0666 0.2500  2 Zn 2.08
O 0.3686 0.3686 0.4157  1 Zn 1.92
O 0.6314 0.6314 0.5843  1 Zn 1.92
O 0.9334 0.9334 0.7500  2 Zn 2.08
O 0.6314 0.6314 0.9157  1 Zn 1.92
Zn 0.4621 0.4621 0.2500  4 O 1.92-2.08
Zn 0.5379 0.5379 0.7500  4 O 1.92-2.08


Entry 15:
The following is a DFT calculation (GGA-PBE) of an optimized crystal structure of NaLa2OsS6.

E_tot: -5.930 eV per atom
SG: No. 14

a b c (Å): 6.4267 7.2756 11.3864
angles (deg): 90.00 123.62 90.00
With the nearest neighbours (Å) after each atom.
Fractional positions:
La 0.2007 0.3919 0.2457  7 S 2.86-3.20
La 0.7993 0.8919 0.2543  7 S 2.86-3.20
La 0.2007 0.1081 0.7457  7 S 2.86-3.20
La 0.7993 0.6081 0.7543  7 S 2.86-3.20
Na 0.5000 0.5000 0.0000  6 S 2.64-2.77
Na 0.5000 0.0000 0.5000  6 S 2.64-2.77
Os 0.0000 0.0000 0.0000  6 S 2.37-2.40
Os 0.0000 0.5000 0.5000  6 S 2.37-2.40
S 0.7423 0.1658 0.0559  1 Os 2.40
S 0.9054 0.7067 0.0571  1 Os 2.40
S 0.3545 0.0270 0.2339  1 Os 2.37, 1 Na 2.64
S 0.6455 0.5270 0.2661  1 Os 2.37, 1 Na 2.64
S 0.0946 0.2067 0.4429  1 Os 2.40
S 0.2577 0.6658 0.4441  1 Os 2.40
S 0.7423 0.3342 0.5559  1 Os 2.40
S 0.9054 0.7933 0.5571  1 Os 2.40
S 0.3545 0.4730 0.7339  1 Os 2.37, 1 Na 2.64
S 0.6455 0.9730 0.7661  1 Os 2.37, 1 Na 2.64
S 0.0946 0.2933 0.9429  1 Os 2.40
S 0.2577 0.8342 0.9441  1 Os 2.40


Entry 16:
The following is a DFT calculation (GGA-PBE) of an optimized crystal structure of NaLa2OsSe6.

E_tot: -5.406 eV per atom
SG: No. 14

a b c (Å): 6.7385 7.6021 11.8188
angles (deg): 90.00 123.57 90.00
With the nearest neighbours (Å) after each atom.
Fractional positions:
La 0.6940 0.1159 0.2454  7 Se 2.99-3.32
La 0.3060 0.6159 0.2546  7 Se 2.99-3.32
La 0.6940 0.3841 0.7454  7 Se 2.99-3.32
La 0.3060 0.8841 0.7546  7 Se 2.99-3.32
Na 0.0000 0.0000 0.0000  6 Se 2.76-2.89
Na 0.0000 0.5000 0.5000  6 Se 2.76-2.89
Os 0.5000 0.5000 0.0000  6 Se 2.50-2.54
Os 0.5000 0.0000 0.5000  6 Se 2.50-2.54
Se 0.2386 0.3354 0.0575  1 Os 2.54
Se 0.4104 0.7982 0.0584  1 Os 2.54
Se 0.8677 0.4730 0.2343  1 Os 2.50, 1 Na 2.76
Se 0.1323 0.9730 0.2657  1 Os 2.50, 1 Na 2.76
Se 0.5896 0.2982 0.4416  1 Os 2.54
Se 0.7614 0.8354 0.4425  1 Os 2.54
Se 0.2386 0.1646 0.5575  1 Os 2.54
Se 0.4104 0.7018 0.5584  1 Os 2.54
Se 0.8677 0.0270 0.7343  1 Os 2.50, 1 Na 2.76
Se 0.1323 0.5270 0.7657  1 Os 2.50, 1 Na 2.76
Se 0.5896 0.2018 0.9416  1 Os 2.54
Se 0.7614 0.6646 0.9425  1 Os 2.54


Entry 17:
The following is a DFT calculation (GGA-PBE) of an optimized crystal structure of NaLaOsW.

E_tot: -6.262 eV per atom
SG: No. 216
relative energy among the computed polymorphs: 12.05 kcal/mol of atoms

a b c (Å): 4.8529 4.8529 4.8529
angles (deg): 60.00 60.00 60.00
With the nearest neighbours (Å) after each atom.
Fractional positions:
La 0.2500 0.2500 0.2500  4 W 2.97, 4 Os 2.97
Na 0.7500 0.7500 0.7500  4 W 2.97, 4 Os 2.97
Os 0.0000 0.0000 0.0000  4 La 2.97, 4 Na 2.97
W 0.5000 0.5000 0.5000  4 Na 2.97, 4 La 2.97


Entry 18:
The following is a DFT calculation (GGA-PBE) of an optimized crystal structure of NaLaOsW.

E_tot: -6.785 eV per atom
SG: No. 216
relative energy among the computed polymorphs: 0.00 kcal/mol of atoms

a b c (Å): 4.7723 4.7723 4.7723
angles (deg): 60.00 60.00 60.00
With the nearest neighbours (Å) after each atom.
Fractional positions:
La 0.5000 0.5000 0.5000  4 Na 2.92, 4 W 2.92
Na 0.7500 0.7500 0.7500  4 La 2.92, 4 Os 2.92
Os 0.0000 0.0000 0.0000  4 W 2.92, 4 Na 2.92
W 0.2500 0.2500 0.2500  4 La 2.92, 4 Os 2.92


Entry 19:
The following is a DFT calculation (GGA-PBE) of an optimized crystal structure of NaLaOsW.

E_tot: -6.762 eV per atom
SG: No. 216
relative energy among the computed polymorphs: 0.53 kcal/mol of atoms

a b c (Å): 4.8298 4.8298 4.8298
angles (deg): 60.00 60.00 60.00
With the nearest neighbours (Å) after each atom.
Fractional positions:
La 0.0000 0.0000 0.0000  4 Os 2.96, 4 Na 2.96
Na 0.7500 0.7500 0.7500  4 W 2.96, 4 La 2.96
Os 0.2500 0.2500 0.2500  4 W 2.96, 4 La 2.96
W 0.5000 0.5000 0.5000  4 Os 2.96, 4 Na 2.96


Entry 20:
The following is a DFT calculation (GGA-PBE) of an optimized crystal structure of NaLaPa.

E_tot: -3.921 eV per atom
SG: No. 216

a b c (Å): 5.1903 5.1903 5.1903
angles (deg): 60.00 60.00 60.00
With the nearest neighbours (Å) after each atom.
Fractional positions:
La 0.2500 0.2500 0.2500  4 Pa 3.18
Na 0.7500 0.7500 0.7500  4 Pa 3.18
Pa 0.0000 0.0000 0.0000  4 Na 3.18, 4 La 3.18